# PmAg2MoO6, relaxed, DFT PBE+U
data_PmAg2MoO6
_space_group_name_H-M_alt 'P 1'
_space_group_IT_number 1
_cell_length_a 5.759
_cell_length_b 5.695
_cell_length_c 5.883
_cell_angle_alpha 61.18
_cell_angle_beta 63.00
_cell_angle_gamma 60.82
loop_
_space_group_symop_operation_xyz
'x,y,z'
loop_
_atom_site_label
_atom_site_type_symbol
_atom_site_fract_x
_atom_site_fract_y
_atom_site_fract_z
O1 O 0.643 0.130 0.783
O2 O 0.018 0.546 0.263
O3 O 0.568 0.220 0.239
O4 O 0.436 0.663 0.767
O5 O 0.226 0.972 0.272
O6 O 0.087 0.431 0.830
Ag1 Ag 0.520 0.519 0.424
Ag2 Ag 0.056 0.053 0.811
Pm1 Pm 0.809 0.816 0.559
Mo1 Mo 0.301 0.313 0.067
# Energy: -6.1710 eV per atom
# D(E_F): 0.456 states/eV per atom